Below is a relaxed FeNi2F6 crystal, with properties calculated at the PBE with a Hubbard U level.

Output
calculated volume	12.7	A^3/atom
symmetry	R3
raw total energy	-40.744	eV/cell

Lattice parameters (Å, degrees): 5.6286 5.6286 5.6286 55.87 55.87 55.87
With the nearest neighbours (Å) after each atom.
Element x y z (fractional)
Fe 0.0000 0.0000 0.0000  6 F 2.06-2.14
Ni 0.4941 0.4941 0.4941  6 F 2.03-2.07
Ni 0.6878 0.6878 0.6878  6 F 2.02-2.04
F 0.0948 0.4139 0.7492  2 Ni 2.02-2.03, 1 Fe 2.14
F 0.2888 0.8654 0.6235  2 Ni 2.04-2.07, 1 Fe 2.06
F 0.4139 0.7492 0.0948  2 Ni 2.02-2.03, 1 Fe 2.14
F 0.6235 0.2888 0.8654  2 Ni 2.04-2.07, 1 Fe 2.06
F 0.7492 0.0948 0.4139  2 Ni 2.02-2.03, 1 Fe 2.14
F 0.8654 0.6235 0.2888  2 Ni 2.04-2.07, 1 Fe 2.06